Density functional theory data (PBE-GGA) for Ti2Cr2Re3 after structural relaxation.

Output
uncorrected energy	-10.425	eV/atom
spin magnetization	0.00	μB per cell

Geometry as extended XYZ:
```
7
Lattice="1.5367 -10.7870 0.0000 1.5367 10.7870 0.0000 0.0000 0.0000 3.0666" Properties=species:S:1:pos:R:3 pbc="T T T"
Ti 1.5367 9.2488 0.0000
Ti 1.5367 -9.2488 0.0000
Cr 1.5367 6.2626 0.0000
Cr 1.5367 -6.2626 0.0000
Re 1.5367 3.2152 1.5333
Re 1.5367 0.0000 1.5333
Re 1.5367 -3.2152 1.5333
```

Density functional theory data (PBE-GGA) for Sr2LaAlBi after structural relaxation.

Output
uncorrected energy	-2.489	eV/atom
spin magnetization	0.00	μB per cell

Geometry as extended XYZ:
```
5
Lattice="6.5011 0.0000 0.0000 0.0000 6.5011 0.0000 0.0000 0.0000 6.0952" Properties=species:S:1:pos:R:3 pbc="T T T"
Sr 0.0000 3.2505 0.0000
Sr 3.2505 0.0000 0.0000
La 0.0000 0.0000 0.0000
Al 3.2505 3.2505 3.0476
Bi 0.0000 0.0000 3.0476
```

Density functional theory data (PBE-GGA) for IrC2F after structural relaxation.

Output
E above lowest polymorph	897	meV/atom
uncorrected energy	-5.291	eV/atom
spin magnetization	0.00	μB per cell
E_form (uncorrected)	2.004	eV/atom

Geometry as extended XYZ:
```
4
Lattice="0.0000 2.6550 2.6550 2.6550 0.0000 2.6550 2.6550 2.6550 0.0000" Properties=species:S:1:pos:R:3 pbc="T T T"
Ir 0.0000 0.0000 0.0000
C 1.3275 1.3275 1.3275
C 3.9825 3.9825 3.9825
F 2.6550 2.6550 2.6550
```

Q: uncorrected energy of number 3 (IrC2F)?
A: -5.291 eV/atom

Please write out number 2 again, unchanged.
Density functional theory data (PBE-GGA) for Sr2LaAlBi after structural relaxation.

Output
uncorrected energy	-2.489	eV/atom
spin magnetization	0.00	μB per cell

Geometry as extended XYZ:
```
5
Lattice="6.5011 0.0000 0.0000 0.0000 6.5011 0.0000 0.0000 0.0000 6.0952" Properties=species:S:1:pos:R:3 pbc="T T T"
Sr 0.0000 3.2505 0.0000
Sr 3.2505 0.0000 0.0000
La 0.0000 0.0000 0.0000
Al 3.2505 3.2505 3.0476
Bi 0.0000 0.0000 3.0476
```

Q: What is the spin magnetization in the first record?
A: 0.00 μB per cell

Repeat the first record exactly.
Density functional theory data (PBE-GGA) for Ti2Cr2Re3 after structural relaxation.

Output
uncorrected energy	-10.425	eV/atom
spin magnetization	0.00	μB per cell

Geometry as extended XYZ:
```
7
Lattice="1.5367 -10.7870 0.0000 1.5367 10.7870 0.0000 0.0000 0.0000 3.0666" Properties=species:S:1:pos:R:3 pbc="T T T"
Ti 1.5367 9.2488 0.0000
Ti 1.5367 -9.2488 0.0000
Cr 1.5367 6.2626 0.0000
Cr 1.5367 -6.2626 0.0000
Re 1.5367 3.2152 1.5333
Re 1.5367 0.0000 1.5333
Re 1.5367 -3.2152 1.5333
```